(1)
YBiMo2: relaxed, PBE.

DFT total energy = -121.542 eV/cell

Cell: 6.8951 6.8951 6.8951 Å, 90.00 90.00 90.00°
With the nearest neighbours (Å) after each atom.
Fractional coordinates of all 16 atoms:
Y (0.0000, 0.0000, 0.0000)  4 Mo 2.99, 4 Bi 2.99
Y (0.0000, 0.5000, 0.5000)  4 Mo 2.99, 4 Bi 2.99
Y (0.5000, 0.0000, 0.5000)  4 Mo 2.99, 4 Bi 2.99
Y (0.5000, 0.5000, 0.0000)  4 Mo 2.99, 4 Bi 2.99
Bi (0.2500, 0.2500, 0.7500)  4 Mo 2.99, 4 Y 2.99
Bi (0.2500, 0.7500, 0.2500)  4 Mo 2.99, 4 Y 2.99
Bi (0.7500, 0.2500, 0.2500)  4 Mo 2.99, 4 Y 2.99
Bi (0.7500, 0.7500, 0.7500)  4 Y 2.99, 4 Mo 2.99
Mo (0.0000, 0.0000, 0.5000)  4 Mo 2.99, 4 Bi 2.99
Mo (0.0000, 0.5000, 0.0000)  4 Mo 2.99, 4 Bi 2.99
Mo (0.2500, 0.2500, 0.2500)  4 Mo 2.99, 4 Y 2.99
Mo (0.2500, 0.7500, 0.7500)  4 Mo 2.99, 4 Y 2.99
Mo (0.5000, 0.0000, 0.0000)  4 Mo 2.99, 4 Bi 2.99
Mo (0.5000, 0.5000, 0.5000)  4 Mo 2.99, 4 Bi 2.99
Mo (0.7500, 0.2500, 0.7500)  4 Mo 2.99, 4 Y 2.99
Mo (0.7500, 0.7500, 0.2500)  4 Mo 2.99, 4 Y 2.99

***

(2)
Be2FePd: relaxed, PBE.

DFT total energy = -84.274 eV/cell

Cell: 5.6463 5.6463 5.6463 Å, 90.00 90.00 90.00°
With the nearest neighbours (Å) after each atom.
Fractional coordinates of all 16 atoms:
Be (0.0000, 0.0000, 0.0000)  4 Fe 2.44, 4 Be 2.44
Be (0.0000, 0.5000, 0.5000)  4 Fe 2.44, 4 Be 2.44
Be (0.2500, 0.2500, 0.2500)  4 Be 2.44, 4 Pd 2.44
Be (0.2500, 0.7500, 0.7500)  4 Be 2.44, 4 Pd 2.44
Be (0.5000, 0.0000, 0.5000)  4 Fe 2.44, 4 Be 2.44
Be (0.5000, 0.5000, 0.0000)  4 Fe 2.44, 4 Be 2.44
Be (0.7500, 0.2500, 0.7500)  4 Be 2.44, 4 Pd 2.44
Be (0.7500, 0.7500, 0.2500)  4 Be 2.44, 4 Pd 2.44
Fe (0.2500, 0.2500, 0.7500)  4 Be 2.44, 4 Pd 2.44
Fe (0.2500, 0.7500, 0.2500)  4 Be 2.44, 4 Pd 2.44
Fe (0.7500, 0.2500, 0.2500)  4 Be 2.44, 4 Pd 2.44
Fe (0.7500, 0.7500, 0.7500)  4 Be 2.44, 4 Pd 2.44
Pd (0.0000, 0.0000, 0.5000)  4 Fe 2.44, 4 Be 2.44
Pd (0.0000, 0.5000, 0.0000)  4 Be 2.44, 4 Fe 2.44
Pd (0.5000, 0.0000, 0.0000)  4 Be 2.44, 4 Fe 2.44
Pd (0.5000, 0.5000, 0.5000)  4 Fe 2.44, 4 Be 2.44

***

(3)
Ta3TlP5: relaxed, PBE.

DFT total energy = -66.692 eV/cell

Cell: 5.7848 5.7848 5.9495 Å, 90.00 90.00 120.00°
With the nearest neighbours (Å) after each atom.
Fractional coordinates of all 9 atoms:
Ta (0.0000, 0.5000, 0.0000)  4 P 2.52
Ta (0.5000, 0.0000, 0.0000)  4 P 2.52
Ta (0.5000, 0.5000, 0.0000)  4 P 2.52
Tl (0.0000, 0.0000, 0.5000)  2 P 2.97
P (0.0000, 0.0000, 0.0000)  6 Ta 2.89, 2 Tl 2.97
P (0.3333, 0.6667, 0.3165)  1 P 2.18
P (0.3333, 0.6667, 0.6835)  1 P 2.18
P (0.6667, 0.3333, 0.3165)  1 P 2.18
P (0.6667, 0.3333, 0.6835)  1 P 2.18

***

(4)
FeCl3: relaxed, PBE.

DFT total energy = -47.823 eV/cell

Cell: 5.9391 5.9391 8.5015 Å, 90.81 90.81 59.76°
With the nearest neighbours (Å) after each atom.
Fractional coordinates of all 12 atoms:
Fe (0.0000, 0.0000, 0.0000)  6 Cl 2.39-2.52
Fe (0.3350, 0.3288, 0.3365)  6 Cl 2.34-2.42
Fe (0.6712, 0.6650, 0.6635)  6 Cl 2.34-2.42
Cl (0.3097, 0.6719, 0.1799)  2 Fe 2.39-2.43
Cl (0.3281, 0.6903, 0.8201)  2 Fe 2.39-2.43
Cl (0.3452, 0.0009, 0.5006)  2 Fe 2.39-2.40
Cl (0.6561, 0.3439, 0.5000)  2 Fe 2.38
Cl (0.6661, 0.0070, 0.1821)  2 Fe 2.34-2.52
Cl (0.6845, 0.0007, 0.8216)  2 Fe 2.39-2.42
Cl (0.9930, 0.3339, 0.8179)  2 Fe 2.34-2.52
Cl (0.9993, 0.3155, 0.1784)  2 Fe 2.39-2.42
Cl (0.9991, 0.6548, 0.4994)  2 Fe 2.39-2.40